Here is a geometry-optimized LiIn2Ag structure from the Alexandria database. Energies are from GGA-PBE.

VASP energy ... -10.2 eV/f.u.
Energy of formation ... 18 meV per atom
Total magnetization ... 0.0 μB/f.u.

Unit cell a=8.039 b=8.039 c=6.402 alpha=51.11 beta=51.11 gamma=90.00
Element x y z (fractional)
1 Ag 0.000 0.000 0.000
2 Ag 0.750 0.250 0.500
3 Li 0.500 0.500 0.000
4 Li 0.250 0.750 0.500
5 In 0.875 0.896 0.750
6 In 0.646 0.125 0.250
7 In 0.104 0.625 0.250
8 In 0.375 0.354 0.750


Here is a geometry-optimized Pa5Ti structure from the Alexandria database. Energies are from GGA-PBE.

VASP energy ... -55.0 eV/f.u.
Relative energy among the computed polymorphs ... 0.0 meV/atom
Energy of formation ... 57 meV per atom
Total magnetization ... 0.0 μB/f.u.

Unit cell a=3.199 b=5.495 c=8.489 alpha=108.88 beta=90.00 gamma=90.00
Element x y z (fractional)
1 Pa 0.000 0.666 0.333
2 Pa 0.500 0.161 0.323
3 Pa 0.500 0.500 0.000
4 Pa 0.000 0.334 0.667
5 Pa 0.500 0.839 0.677
6 Ti 0.000 0.000 0.000


Here is a geometry-optimized AgTe2IN structure from the Alexandria database. Energies are from GGA-PBE.

VASP energy ... -12.8 eV/f.u.
Relative energy among the computed polymorphs ... 363.6 meV/atom
ΔE_f (raw) ... 1241 meV per atom
Total magnetization ... 0.0 μB/f.u.

Unit cell a=6.064 b=6.064 c=3.888 alpha=90.00 beta=90.00 gamma=90.00
Element x y z (fractional)
1 Ag 0.500 0.500 0.500
2 Te 0.500 0.000 0.000
3 Te 0.000 0.500 0.000
4 I 0.000 0.000 0.000
5 N 0.000 0.000 0.500


Here is a geometry-optimized SrWAu structure from the Alexandria database. Energies are from GGA-PBE.

VASP energy ... -15.3 eV/f.u.
Relative energy among the computed polymorphs ... 216.0 meV/atom
Energy of formation ... 859 meV per atom
Total magnetization ... 0.4 μB/f.u.

Unit cell a=4.981 b=4.981 c=3.079 alpha=90.00 beta=90.00 gamma=120.00
Site moments in Bohr magnetons follow the coordinates.
Element x y z (fractional)
1 W 0.667 0.333 0.833  0.28
2 Au 0.000 0.000 0.834  0.01
3 Sr 0.333 0.667 0.333  0.02


Which theoretical density belongs to each record? In order, 6009 14149 5854 11755 kg/m3.